Record 1
Material: CeSc2RuO8
Method: DFT, GGA-PBE
State: relaxed

Output
Total magnetization: 2.02 Bohr magnetons per cell
VASP energy: -97.6 eV per cell
Formation energy from raw total energies: -30.04 eV per formula unit
D(E_F): 0.284 states/eV/atom

Lattice parameters (Å, degrees): 4.8398 6.5795 4.8450 90.00 90.65 90.00
Closest atoms and distances in Å follow each position.
Space group P2/m (No. 10)
Unique sites:
Ce: 0.0000 0.0000 0.0000 x1  6 O 2.14-2.31
Sc: 0.5000 0.2538 0.5000 x2  6 O 2.10-2.18
Ru: 0.0000 0.5000 0.0000 x1  6 O 1.94
O: 0.1951 0.2856 0.8064 x4  1 Ru 1.94, 1 Sc 2.12
O: 0.2848 0.5000 0.2862 x2  1 Ru 1.94
O: 0.3132 0.0000 0.3149 x2  2 Sc 2.10, 1 Ce 2.14

Record 2
Material: SrCeRu2O8
Method: DFT, GGA-PBE
State: relaxed

Output
Total magnetization: 2.07 Bohr magnetons per cell
VASP energy: -85.9 eV per cell
Formation energy from raw total energies: -20.02 eV per formula unit
D(E_F): 0.773 states/eV/atom

Lattice parameters (Å, degrees): 5.8910 5.8910 7.2704 90.00 90.00 120.00
Closest atoms and distances in Å follow each position.
Space group P-3m1 (No. 164)
Unique sites:
Sr: 0.0000 0.0000 0.0000 x1  6 O 2.67
Ce: 0.0000 0.0000 0.5000 x1  6 O 2.27
Ru: 0.3333 0.6667 0.7993 x2  4 O 1.77-1.85
O: 0.1630 0.3260 0.7131 x6  1 Ru 1.85
O: 0.3333 0.6667 0.0423 x2  1 Ru 1.77

Record 3
Material: SrCe2RuO8
Method: DFT, GGA-PBE
State: relaxed

Output
Total magnetization: 2.01 Bohr magnetons per cell
VASP energy: -90.7 eV per cell
Formation energy from raw total energies: -28.23 eV per formula unit
D(E_F): 0.455 states/eV/atom

Lattice parameters (Å, degrees): 5.0967 7.0484 5.1057 90.00 90.37 90.00
Closest atoms and distances in Å follow each position.
Space group P2/m (No. 10)
Unique sites:
Sr: 0.0000 0.0000 0.0000 x1  6 O 2.37-2.53
Ce: 0.5000 0.2534 0.5000 x2  6 O 2.18-2.36
Ru: 0.0000 0.5000 0.0000 x1  6 O 1.92-2.02
O: 0.1883 0.3050 0.1852 x4  1 Ru 1.92
O: 0.2782 0.5000 0.7194 x2  1 Ru 2.02
O: 0.3243 0.0000 0.6707 x2  2 Ce 2.18, 1 Sr 2.37

Record 4
Material: CeTlRuO6
Method: DFT, GGA-PBE
State: relaxed

Output
Total magnetization: 4.13 Bohr magnetons per cell
VASP energy: -241.3 eV per cell
Formation energy from raw total energies: -13.00 eV per formula unit
D(E_F): 0.473 states/eV/atom

Lattice parameters (Å, degrees): 7.3767 7.8598 11.4368 90.00 90.00 90.00
Closest atoms and distances in Å follow each position.
Space group Imma (No. 74)
Unique sites:
Ce: 0.0000 0.0000 0.0000 x4  6 O 2.19-2.27
Tl: 0.0000 0.2500 0.3092 x4  1 O 2.57
Ru: 0.2500 0.2500 0.7500 x4  6 O 1.88-1.92
O: 0.0000 0.2500 0.0849 x4  2 Ce 2.19
O: 0.0000 0.2500 0.7044 x4  2 Ru 1.92
O: 0.2032 0.0790 0.8613 x16  1 Ru 1.88

Record 5
Material: Ce2SO
Method: DFT, GGA-PBE
State: relaxed

Output
Total magnetization: 1.82 Bohr magnetons per cell
VASP energy: -120.9 eV per cell
Excess energy over the best structure of this formula in the dataset: 26.4 kJ/mol of formula units
Formation energy from raw total energies: -9.27 eV per formula unit
D(E_F): 1.619 states/eV/atom

Lattice parameters (Å, degrees): 5.4194 5.4194 10.4793 90.00 90.00 90.00
Closest atoms and distances in Å follow each position.
Space group I4_1/amd (No. 141, origin choice 2)
Unique sites:
Ce: 0.0000 0.2500 0.1098 x8  3 O 2.46-2.71, 2 S 2.71
S: 0.0000 0.2500 0.3750 x4  6 Ce 2.71-2.78
O: 0.0000 0.2500 0.8750 x4  6 Ce 2.46-2.71

Record 6
Material: Ce3SO4
Method: DFT, GGA-PBE
State: relaxed

Output
Total magnetization: 2.04 Bohr magnetons per cell
VASP energy: -67.2 eV per cell
Formation energy from raw total energies: -25.43 eV per formula unit
D(E_F): 1.686 states/eV/atom

Lattice parameters (Å, degrees): 3.8957 3.8957 8.8757 90.00 90.00 90.00
Closest atoms and distances in Å follow each position.
Space group P4/mmm (No. 123)
Unique sites:
Ce: 0.0000 0.0000 0.0000 x1  8 O 2.41
Ce: 0.5000 0.5000 0.2930 x2  4 O 2.28
S: 0.0000 0.0000 0.5000 x1  8 Ce 3.31, 8 O 3.59
O: 0.0000 0.5000 0.1602 x4  4 Ce 2.28-2.41

Record 7
Material: Ce2SO
Method: DFT, GGA-PBE
State: relaxed

Output
Total magnetization: 1.57 Bohr magnetons per cell
VASP energy: -91.5 eV per cell
Excess energy over the best structure of this formula in the dataset: 0.0 kJ/mol of formula units
Formation energy from raw total energies: -9.54 eV per formula unit
D(E_F): 1.695 states/eV/atom

Lattice parameters (Å, degrees): 3.7338 3.7338 18.8284 90.00 90.00 120.00
Closest atoms and distances in Å follow each position.
Space group R-3m (No. 166, hexagonal axes)
Unique sites:
Ce: 0.0000 0.0000 0.2395 x6  3 O 2.55, 3 S 2.79
S: 0.0000 0.0000 0.0000 x3  6 Ce 2.79
O: 0.0000 0.0000 0.5000 x3  6 Ce 2.55

Record 8
Material: CeSO
Method: DFT, GGA-PBE
State: relaxed

Output
Total magnetization: 0.00 Bohr magnetons per cell
VASP energy: -91.0 eV per cell
Formation energy from raw total energies: -7.74 eV per formula unit

Lattice parameters (Å, degrees): 3.7669 17.7321 3.7715 90.00 90.00 90.00
Closest atoms and distances in Å follow each position.
Space group Cmcm (No. 63)
Unique sites:
Ce: 0.0000 0.1743 0.2500 x4  4 O 2.31
S: 0.0000 0.3954 0.2500 x4  4 Ce 2.94, 4 O 3.19
O: 0.0000 0.2500 0.7500 x4  4 Ce 2.31